A plane-wave DFT calculation with PBE-GGA was carried out for crystalline UZnGa2O8 at its relaxed geometry.

Values from the calculation:
As for the uncorrected formation energy: -1690.2 meV per atom. Its space-group type is I-4m2, No. 119.

Cell and atoms, written as extended XYZ:
```
12
Lattice="-3.3568 3.3568 3.4155 3.3568 -3.3568 3.4155 3.3568 3.3568 -3.4155" Properties=species:S:1:pos:R:3 pbc="T T T"
U 0.0000 0.0000 0.0000
Zn 3.3568 0.0000 1.7078
Ga 0.0000 0.0000 3.4155
Ga 0.0000 3.3568 1.7078
O 2.0320 3.3568 -1.3333
O 1.3248 0.0000 2.0822
O 0.0000 1.9737 0.5093
O 3.3568 2.0320 1.3333
O 0.0000 4.7399 0.5093
O 0.0000 1.3248 4.7488
O -1.3831 3.3568 2.9062
O 1.3831 3.3568 2.9062
```

A plane-wave DFT calculation with PBE-GGA was carried out for crystalline Ac4LaSm at its relaxed geometry.

Values from the calculation:
As for the relative energy among the computed polymorphs: 0.341 eV/atom. Its calculated formation energy is 0.369 eV/atom. Its space-group type is Imma, No. 74.

Cell and atoms, written as extended XYZ:
```
12
Lattice="-4.2484 4.8321 6.3770 4.2484 -4.8321 6.3770 4.2484 4.8321 -6.3770" Properties=species:S:1:pos:R:3 pbc="T T T"
Ac 1.8090 2.4161 0.2746
Ac 2.4394 -2.4161 6.6516
Ac 0.0000 0.5103 2.8790
Ac 4.2484 0.5103 3.4980
Ac 0.0000 4.3219 2.8790
Ac 4.2484 4.3219 3.4980
Ac 1.8090 7.2482 -0.2746
Ac 2.4394 2.4161 6.1023
La 2.1242 2.4161 -3.1885
La 2.1242 -2.4161 3.1885
Sm 4.2484 0.0000 0.0000
Sm 0.0000 0.0000 6.3770
```

A plane-wave DFT calculation with PBE-GGA was carried out for crystalline Y2ZrSe at its relaxed geometry.

Values from the calculation:
As for the uncorrected formation energy: -653.5 meV per atom. Its space-group type is P4/mmm, No. 123.

Cell and atoms, written as extended XYZ:
```
4
Lattice="3.5392 0.0000 0.0000 0.0000 3.5392 0.0000 0.0000 0.0000 8.0838" Properties=species:S:1:pos:R:3 pbc="T T T"
Y 0.0000 0.0000 1.8065
Y 0.0000 0.0000 6.2773
Zr 1.7696 1.7696 4.0419
Se 1.7696 1.7696 0.0000
```

A plane-wave DFT calculation with PBE-GGA was carried out for crystalline CeTmThAl at its relaxed geometry.

Values from the calculation:
Its calculated formation energy is 0.019 eV/atom. Its space-group type is F-43m, No. 216.

Cell and atoms, written as extended XYZ:
```
16
Lattice="7.5222 0.0000 0.0000 0.0000 7.5222 0.0000 0.0000 0.0000 7.5222" Properties=species:S:1:pos:R:3 pbc="T T T"
Ce 0.0000 0.0000 0.0000
Ce 0.0000 3.7611 3.7611
Ce 3.7611 0.0000 3.7611
Ce 3.7611 3.7611 0.0000
Tm 1.8806 1.8806 1.8806
Tm 1.8806 5.6417 5.6417
Tm 5.6417 1.8806 5.6417
Tm 5.6417 5.6417 1.8806
Th 1.8806 1.8806 5.6417
Th 1.8806 5.6417 1.8806
Th 5.6417 1.8806 1.8806
Th 5.6417 5.6417 5.6417
Al 0.0000 0.0000 3.7611
Al 0.0000 3.7611 0.0000
Al 3.7611 0.0000 0.0000
Al 3.7611 3.7611 3.7611
```

A plane-wave DFT calculation with PBE-GGA was carried out for crystalline Be2SiSb at its relaxed geometry.

Values from the calculation:
As for the relative energy among the computed polymorphs: 0.152 eV/atom. As for the uncorrected formation energy: 471.2 meV per atom. Its space-group type is Pmmm, No. 47.

Cell and atoms, written as extended XYZ:
```
4
Lattice="2.8425 0.0000 0.0000 0.0000 3.3299 0.0000 0.0000 0.0000 6.5194" Properties=species:S:1:pos:R:3 pbc="T T T"
Be 0.0000 0.0000 1.1222
Be 0.0000 0.0000 5.3971
Si 1.4213 1.6650 0.0000
Sb 0.0000 1.6650 3.2597
```

A plane-wave DFT calculation with PBE-GGA was carried out for crystalline K2YRhW at its relaxed geometry.

Values from the calculation:
Its calculated formation energy is 1.960 eV/atom. Its space-group type is P4/mmm, No. 123.

Cell and atoms, written as extended XYZ:
```
5
Lattice="6.1287 0.0000 0.0000 0.0000 6.1287 0.0000 0.0000 0.0000 5.3108" Properties=species:S:1:pos:R:3 pbc="T T T"
K 0.0000 3.0644 0.0000
K 3.0644 0.0000 0.0000
Y 0.0000 0.0000 2.6554
Rh 3.0644 3.0644 2.6554
W 0.0000 0.0000 0.0000
```

A plane-wave DFT calculation with PBE-GGA was carried out for crystalline K6Rb4Tl at its relaxed geometry.

Values from the calculation:
Its calculated formation energy is 0.034 eV/atom. Its space-group type is P4/mnc, No. 128.

Cell and atoms, written as extended XYZ:
```
22
Lattice="11.3997 0.0000 0.0000 0.0000 11.3997 0.0000 0.0000 0.0000 12.1280" Properties=species:S:1:pos:R:3 pbc="T T T"
K 0.0000 0.0000 2.2843
K 0.0000 0.0000 9.8437
K 1.5064 3.4695 6.0640
K 2.2303 4.1935 0.0000
K 3.4695 9.8933 6.0640
K 4.1935 9.1693 0.0000
K 5.6998 5.6998 3.7797
K 5.6998 5.6998 8.3483
K 7.2062 2.2303 0.0000
K 7.9302 1.5064 6.0640
K 9.1693 7.2062 0.0000
K 9.8933 7.9302 6.0640
Rb 1.6487 7.3486 3.0320
Rb 1.6487 7.3486 9.0960
Rb 4.0511 1.6487 3.0320
Rb 4.0511 1.6487 9.0960
Rb 7.3486 9.7510 3.0320
Rb 7.3486 9.7510 9.0960
Rb 9.7510 4.0511 3.0320
Rb 9.7510 4.0511 9.0960
Tl 0.0000 0.0000 6.0640
Tl 5.6998 5.6998 0.0000
```

A plane-wave DFT calculation with PBE-GGA was carried out for crystalline Pm3GaCu8 at its relaxed geometry.

Values from the calculation:
Its calculated formation energy is -0.157 eV/atom. Its space-group type is R3m, No. 160.

Cell and atoms, written as extended XYZ:
```
12
Lattice="2.6206 1.5130 8.5250 -2.6206 1.5130 8.5250 0.0000 -3.0260 8.5250" Properties=species:S:1:pos:R:3 pbc="T T T"
Pm 0.0000 0.0000 0.0000
Pm 0.0000 0.0000 3.2269
Pm 0.0000 0.0000 15.6678
Ga 0.0000 0.0000 12.4799
Cu 0.0000 -1.5460 5.7441
Cu -1.3389 0.7730 5.7441
Cu -1.3015 -0.7514 10.0632
Cu 0.0000 0.0000 7.8842
Cu 1.3015 -0.7514 10.0632
Cu 0.0000 1.5029 10.0632
Cu 1.3389 0.7730 5.7441
Cu 0.0000 0.0000 20.7057
```

A plane-wave DFT calculation with PBE-GGA was carried out for crystalline Mg4AgCl at its relaxed geometry.

Values from the calculation:
As for the uncorrected formation energy: 58.4 meV per atom. Its space-group type is F-43m, No. 216.

Cell and atoms, written as extended XYZ:
```
6
Lattice="0.0000 4.1421 4.1421 4.1421 0.0000 4.1421 4.1421 4.1421 0.0000" Properties=species:S:1:pos:R:3 pbc="T T T"
Mg 1.0283 1.0283 1.0283
Mg 3.1138 3.1138 1.0283
Mg 3.1138 1.0283 3.1138
Mg 1.0283 3.1138 3.1138
Ag 6.2132 6.2132 6.2132
Cl 4.1421 4.1421 4.1421
```

A plane-wave DFT calculation with PBE-GGA was carried out for crystalline Na3Bi2Au2 at its relaxed geometry.

Values from the calculation:
Its calculated formation energy is -0.273 eV/atom. Its space-group type is Immm, No. 71.

Cell and atoms, written as extended XYZ:
```
14
Lattice="3.6708 0.0000 0.0000 0.0000 4.9925 0.0000 0.0000 0.0000 20.2706" Properties=species:S:1:pos:R:3 pbc="T T T"
Na 0.0000 0.0000 0.0000
Na 0.0000 2.4962 3.9541
Na 0.0000 2.4962 16.3166
Na 1.8354 0.0000 6.1812
Na 1.8354 0.0000 14.0894
Na 1.8354 2.4962 10.1353
Bi 0.0000 2.4962 7.3240
Bi 0.0000 2.4962 12.9466
Bi 1.8354 0.0000 2.8113
Bi 1.8354 0.0000 17.4593
Au 0.0000 0.0000 8.7324
Au 0.0000 0.0000 11.5382
Au 1.8354 2.4962 1.4029
Au 1.8354 2.4962 18.8677
```

A plane-wave DFT calculation with PBE-GGA was carried out for crystalline BeNi2Os at its relaxed geometry.

Values from the calculation:
Its calculated formation energy is -0.043 eV/atom. Its space-group type is Immm, No. 71.

Cell and atoms, written as extended XYZ:
```
8
Lattice="2.8324 0.0000 0.0000 0.0000 3.8779 0.0000 0.0000 0.0000 7.9030" Properties=species:S:1:pos:R:3 pbc="T T T"
Be 0.0000 0.0000 0.0000
Be 1.4162 1.9389 3.9515
Ni 0.0000 1.9389 2.1492
Ni 0.0000 1.9389 5.7539
Ni 1.4162 0.0000 1.8024
Ni 1.4162 0.0000 6.1007
Os 0.0000 0.0000 3.9515
Os 1.4162 1.9389 0.0000
```

A plane-wave DFT calculation with PBE-GGA was carried out for crystalline Na6RuN4 at its relaxed geometry.

Values from the calculation:
As for the uncorrected formation energy: 118.0 meV per atom. Its space-group type is P4_2/nmc, No. 137.

Cell and atoms, written as extended XYZ:
```
22
Lattice="7.5316 0.0000 0.0000 0.0000 7.5316 0.0000 0.0000 0.0000 5.8776" Properties=species:S:1:pos:R:3 pbc="T T T"
Na 0.3250 4.0908 1.4694
Na 0.3250 7.2066 1.4694
Na 1.8829 1.8829 0.5175
Na 1.8829 1.8829 3.4563
Na 3.4408 4.0908 1.4694
Na 3.4408 7.2066 1.4694
Na 4.0908 0.3250 4.4082
Na 4.0908 3.4408 4.4082
Na 5.6487 5.6487 2.4213
Na 5.6487 5.6487 5.3601
Na 7.2066 0.3250 4.4082
Na 7.2066 3.4408 4.4082
Ru 1.8829 5.6487 4.4082
Ru 5.6487 1.8829 1.4694
N 0.2711 5.6487 3.4143
N 1.8829 4.0369 5.4021
N 1.8829 7.2605 5.4021
N 3.4947 5.6487 3.4143
N 4.0369 1.8829 2.4633
N 5.6487 0.2711 0.4755
N 5.6487 3.4947 0.4755
N 7.2605 1.8829 2.4633
```

A plane-wave DFT calculation with PBE-GGA was carried out for crystalline Fe2HgPCl at its relaxed geometry.

Values from the calculation:
As for the uncorrected formation energy: 395.1 meV per atom. Its space-group type is P4/mmm, No. 123.

Cell and atoms, written as extended XYZ:
```
5
Lattice="4.4818 0.0000 0.0000 0.0000 4.4818 0.0000 0.0000 0.0000 5.2310" Properties=species:S:1:pos:R:3 pbc="T T T"
Fe 0.0000 2.2409 0.0000
Fe 2.2409 0.0000 0.0000
Hg 0.0000 0.0000 2.6155
P 0.0000 0.0000 0.0000
Cl 2.2409 2.2409 2.6155
```

A plane-wave DFT calculation with PBE-GGA was carried out for crystalline Th4Te2AsSe at its relaxed geometry.

Values from the calculation:
As for the uncorrected formation energy: -1268.8 meV per atom. Its space-group type is P2/m, No. 10.

Cell and atoms, written as extended XYZ:
```
8
Lattice="7.3596 0.0000 0.0000 0.0000 4.3340 0.0000 -2.5484 0.0000 7.3091" Properties=species:S:1:pos:R:3 pbc="T T T"
Th 1.1998 0.0000 1.6083
Th -0.0766 2.1670 5.6977
Th 4.8879 2.1670 1.6115
Th 3.6115 0.0000 5.7008
Te -1.2742 0.0000 3.6546
Te 2.4056 2.1670 3.6546
As 0.0000 2.1670 0.0000
Se 3.6798 0.0000 0.0000
```

A plane-wave DFT calculation with PBE-GGA was carried out for crystalline AsOsBr at its relaxed geometry.

Values from the calculation:
As for the relative energy among the computed polymorphs: 1.232 eV/atom. As for the uncorrected formation energy: 1470.5 meV per atom. Its space-group type is F-43m, No. 216.

Cell and atoms, written as extended XYZ:
```
12
Lattice="6.2970 0.0000 0.0000 0.0000 6.2970 0.0000 0.0000 0.0000 6.2970" Properties=species:S:1:pos:R:3 pbc="T T T"
As 0.0000 0.0000 0.0000
As 0.0000 3.1485 3.1485
As 3.1485 0.0000 3.1485
As 3.1485 3.1485 0.0000
Os 1.5742 1.5742 4.7227
Os 1.5742 4.7227 1.5742
Os 4.7227 1.5742 1.5742
Os 4.7227 4.7227 4.7227
Br 1.5742 1.5742 1.5742
Br 1.5742 4.7227 4.7227
Br 4.7227 1.5742 4.7227
Br 4.7227 4.7227 1.5742
```

A plane-wave DFT calculation with PBE-GGA was carried out for crystalline Hf2CuPb at its relaxed geometry.

Values from the calculation:
Its calculated formation energy is 0.162 eV/atom. Its space-group type is R-3m, No. 166.

Cell and atoms, written as extended XYZ:
```
12
Lattice="4.3178 0.0000 0.0000 -2.1589 3.7393 0.0000 0.0000 0.0000 16.3644" Properties=species:S:1:pos:R:3 pbc="T T T"
Hf 0.0000 0.0000 3.7727
Hf 0.0000 0.0000 12.5917
Hf 0.0000 2.4929 7.1369
Hf 0.0000 2.4929 14.6823
Hf 2.1589 1.2464 1.6821
Hf 2.1589 1.2464 9.2275
Cu 0.0000 0.0000 8.1822
Cu 0.0000 2.4929 2.7274
Cu 2.1589 1.2464 13.6370
Pb 0.0000 0.0000 0.0000
Pb 0.0000 2.4929 10.9096
Pb 2.1589 1.2464 5.4548
```

A plane-wave DFT calculation with PBE-GGA was carried out for crystalline CePm2Tm6 at its relaxed geometry.

Values from the calculation:
Its calculated formation energy is 0.130 eV/atom. Its space-group type is C2/c, No. 15.

Cell and atoms, written as extended XYZ:
```
18
Lattice="6.3995 -6.9040 0.0000 6.3995 6.9040 0.0000 -1.2845 0.0000 6.3905" Properties=species:S:1:pos:R:3 pbc="T T T"
Ce 5.4361 5.2589 4.7929
Ce 6.0784 -5.2589 1.5976
Pm 3.7855 0.3919 4.0189
Pm 4.4277 -0.3919 0.8236
Pm 7.0868 0.3919 5.5669
Pm 7.7290 -0.3919 2.3716
Tm 0.6511 1.1675 5.2074
Tm 2.9385 2.7880 1.6692
Tm 1.2933 -1.1675 2.0122
Tm 6.0190 2.6501 0.0119
Tm 6.1378 2.6501 3.1833
Tm 2.2963 -2.7880 4.8645
Tm 9.2182 2.7880 1.5260
Tm 5.3768 -2.6501 3.2072
Tm 5.4955 -2.6501 6.3786
Tm 10.2212 1.1675 4.3783
Tm 8.5760 -2.7880 4.7213
Tm 10.8634 -1.1675 1.1831
```

A plane-wave DFT calculation with PBE-GGA was carried out for crystalline Ho3ErTl at its relaxed geometry.

Values from the calculation:
As for the relative energy among the computed polymorphs: 0.000 eV/atom. Its calculated formation energy is -0.118 eV/atom. Its space-group type is Cmcm, No. 63.

Cell and atoms, written as extended XYZ:
```
10
Lattice="2.3931 -12.5843 0.0000 2.3931 12.5843 0.0000 0.0000 0.0000 4.7750" Properties=species:S:1:pos:R:3 pbc="T T T"
Ho 2.3931 11.3670 3.5813
Ho 2.3931 6.2787 3.5813
Ho 2.3931 1.3085 3.5813
Ho 2.3931 -1.3085 1.1938
Ho 2.3931 -6.2787 1.1938
Ho 2.3931 -11.3670 1.1938
Er 2.3931 8.8177 1.1938
Er 2.3931 -8.8177 3.5813
Tl 2.3931 3.8200 1.1938
Tl 2.3931 -3.8200 3.5813
```

A plane-wave DFT calculation with PBE-GGA was carried out for crystalline InNi2Rh at its relaxed geometry.

Values from the calculation:
Its calculated formation energy is 0.025 eV/atom. Its space-group type is P4/mmm, No. 123.

Cell and atoms, written as extended XYZ:
```
4
Lattice="3.1596 0.0000 0.0000 0.0000 3.1596 0.0000 0.0000 0.0000 5.6833" Properties=species:S:1:pos:R:3 pbc="T T T"
In 0.0000 0.0000 0.0000
Ni 1.5798 1.5798 1.5368
Ni 1.5798 1.5798 4.1465
Rh 0.0000 0.0000 2.8417
```

A plane-wave DFT calculation with PBE-GGA was carried out for crystalline Nb6CuC at its relaxed geometry.

Values from the calculation:
Its calculated formation energy is 0.236 eV/atom. Its space-group type is P-1, No. 2.

Cell and atoms, written as extended XYZ:
```
8
Lattice="5.6253 0.0000 0.0000 -2.8112 4.8748 0.0000 -2.8080 -1.6264 4.9950" Properties=species:S:1:pos:R:3 pbc="T T T"
Nb -0.6320 -0.0782 1.3101
Nb -1.1540 3.0256 1.3108
Nb -1.7895 1.3197 3.6834
Nb 1.7956 1.9287 1.3116
Nb 1.1601 0.2228 3.6842
Nb 0.6381 3.3266 3.6849
Cu 2.8126 0.0000 0.0000
C 0.0031 1.6242 2.4975
```